DFT (PBE) results for an optimized crystal structure of TbAs3Ru5.

Summary:
**Total energy**: -7.4058 eV per atom
**Energy of formation from the pure elements**: -18.2 kJ/mol of atoms
**D(E_F)**: 31.21 states/eV per cell

Cell: 3.128 13.273 14.242 Å, 90.00 90.00 90.00°
Space group Cmcm (No. 63)
Asymmetric unit:
1 Tb 0.000 0.160 0.250 [4 per cell]
2 As 0.000 0.126 0.750 [4 per cell]
3 As 0.000 0.365 0.551 [8 per cell]
4 Ru 0.000 0.000 0.000 [4 per cell]
5 Ru 0.000 0.190 0.585 [8 per cell]
6 Ru 0.000 0.484 0.156 [8 per cell]